Entry 1:
# GGA-PBE Ca2NbFe, optimized geometry
data_Ca2NbFe
_chemical_formula_sum 'Ca2 Nb1 Fe1'
_cell_length_a 5.0152
_cell_length_b 5.0152
_cell_length_c 5.0152
_cell_angle_alpha 60.00
_cell_angle_beta 60.00
_cell_angle_gamma 60.00
_symmetry_space_group_name_H-M 'P 1'
_symmetry_Int_Tables_number 1
loop_
_symmetry_equiv_pos_as_xyz
'x,y,z'
loop_
_atom_site_label
_atom_site_type_symbol
_atom_site_fract_x
_atom_site_fract_y
_atom_site_fract_z
_atom_site_occupancy
Fe1 Fe 0.0000 0.0000 0.0000 1
Nb1 Nb 0.5000 0.5000 0.5000 1
Ca1 Ca 0.2500 0.2500 0.2500 1
Ca2 Ca 0.7500 0.7500 0.7500 1
# Symmetry ... Fm-3m
# Distance to the lowest polymorph of the same formula ... 418 meV/atom
# Formation energy ... 1.226 eV/atom
# ρ ... 4.26 g/cm3



Entry 2:
# GGA-PBE Ca2NbFe2, optimized geometry
data_Ca2NbFe2
_chemical_formula_sum 'Ca2 Nb1 Fe2'
_cell_length_a 3.9528
_cell_length_b 3.9528
_cell_length_c 7.0271
_cell_angle_alpha 73.66
_cell_angle_beta 73.66
_cell_angle_gamma 90.00
_symmetry_space_group_name_H-M 'P 1'
_symmetry_Int_Tables_number 1
loop_
_symmetry_equiv_pos_as_xyz
'x,y,z'
loop_
_atom_site_label
_atom_site_type_symbol
_atom_site_fract_x
_atom_site_fract_y
_atom_site_fract_z
_atom_site_occupancy
Fe1 Fe 0.4197 0.4197 0.1606 1
Fe2 Fe 0.5803 0.5803 0.8394 1
Ca1 Ca 0.2500 0.7500 0.5000 1
Ca2 Ca 0.7500 0.2500 0.5000 1
Nb1 Nb 0.0000 0.0000 0.0000 1
# Symmetry ... I4/mmm
# Distance to the lowest polymorph of the same formula ... 517 meV/atom
# Formation energy ... 0.927 eV/atom
# ρ ... 4.69 g/cm3



Entry 3:
# GGA-PBE Ca3NbFe, optimized geometry
data_Ca3NbFe
_chemical_formula_sum 'Ca3 Nb1 Fe1'
_cell_length_a 5.3040
_cell_length_b 5.3040
_cell_length_c 5.3040
_cell_angle_alpha 90.00
_cell_angle_beta 90.00
_cell_angle_gamma 90.00
_symmetry_space_group_name_H-M 'P 1'
_symmetry_Int_Tables_number 1
loop_
_symmetry_equiv_pos_as_xyz
'x,y,z'
loop_
_atom_site_label
_atom_site_type_symbol
_atom_site_fract_x
_atom_site_fract_y
_atom_site_fract_z
_atom_site_occupancy
Ca1 Ca 0.5000 0.0000 0.0000 1
Ca2 Ca 0.0000 0.0000 0.5000 1
Ca3 Ca 0.0000 0.5000 0.0000 1
Fe1 Fe 0.0000 0.0000 0.0000 1
Nb1 Nb 0.5000 0.5000 0.5000 1
# Symmetry ... Pm-3m
# Distance to the lowest polymorph of the same formula ... 0 meV/atom
# Formation energy ... 1.105 eV/atom
# ρ ... 2.99 g/cm3



Entry 4:
# GGA-PBE Ca2NbFe2, optimized geometry
data_Ca2NbFe2
_chemical_formula_sum 'Ca4 Nb2 Fe4'
_cell_length_a 6.4028
_cell_length_b 6.4028
_cell_length_c 4.9689
_cell_angle_alpha 90.00
_cell_angle_beta 90.00
_cell_angle_gamma 90.00
_symmetry_space_group_name_H-M 'P 1'
_symmetry_Int_Tables_number 1
loop_
_symmetry_equiv_pos_as_xyz
'x,y,z'
loop_
_atom_site_label
_atom_site_type_symbol
_atom_site_fract_x
_atom_site_fract_y
_atom_site_fract_z
_atom_site_occupancy
Fe1 Fe 0.1233 0.3767 0.0000 1
Fe2 Fe 0.6233 0.1233 0.0000 1
Fe3 Fe 0.8767 0.6233 0.0000 1
Fe4 Fe 0.3767 0.8767 0.0000 1
Ca1 Ca 0.3214 0.1786 0.5000 1
Ca2 Ca 0.6786 0.8214 0.5000 1
Ca3 Ca 0.1786 0.6786 0.5000 1
Ca4 Ca 0.8214 0.3214 0.5000 1
Nb1 Nb 0.0000 0.0000 0.0000 1
Nb2 Nb 0.5000 0.5000 0.0000 1
# Symmetry ... P4/mbm
# Distance to the lowest polymorph of the same formula ... 0 meV/atom
# Formation energy ... 0.411 eV/atom
# ρ ... 4.64 g/cm3



Entry 5:
# GGA-PBE Ca2NbFe, optimized geometry
data_Ca2NbFe
_chemical_formula_sum 'Ca4 Nb2 Fe2'
_cell_length_a 10.8088
_cell_length_b 10.8088
_cell_length_c 7.9552
_cell_angle_alpha 47.21
_cell_angle_beta 47.21
_cell_angle_gamma 90.00
_symmetry_space_group_name_H-M 'P 1'
_symmetry_Int_Tables_number 1
loop_
_symmetry_equiv_pos_as_xyz
'x,y,z'
loop_
_atom_site_label
_atom_site_type_symbol
_atom_site_fract_x
_atom_site_fract_y
_atom_site_fract_z
_atom_site_occupancy
Fe1 Fe 0.2500 0.7500 0.5000 1
Fe2 Fe 0.5000 0.5000 0.0000 1
Ca1 Ca 0.2880 0.6250 0.2500 1
Ca2 Ca 0.4620 0.1250 0.2500 1
Ca3 Ca 0.3750 0.5380 0.7500 1
Ca4 Ca 0.8750 0.7120 0.7500 1
Nb1 Nb 0.0000 0.0000 0.0000 1
Nb2 Nb 0.7500 0.2500 0.5000 1
# Symmetry ... I-42d
# Distance to the lowest polymorph of the same formula ... 0 meV/atom
# Formation energy ... 0.808 eV/atom
# ρ ... 2.95 g/cm3



Entry 6:
# GGA-PBE CaNb2Fe, optimized geometry
data_CaNb2Fe
_chemical_formula_sum 'Ca2 Nb4 Fe2'
_cell_length_a 5.0003
_cell_length_b 5.0003
_cell_length_c 9.0697
_cell_angle_alpha 74.00
_cell_angle_beta 74.00
_cell_angle_gamma 90.00
_symmetry_space_group_name_H-M 'P 1'
_symmetry_Int_Tables_number 1
loop_
_symmetry_equiv_pos_as_xyz
'x,y,z'
loop_
_atom_site_label
_atom_site_type_symbol
_atom_site_fract_x
_atom_site_fract_y
_atom_site_fract_z
_atom_site_occupancy
Nb1 Nb 0.8750 0.1249 0.7500 1
Nb2 Nb 0.8751 0.6250 0.2500 1
Nb3 Nb 0.8749 0.1250 0.2500 1
Nb4 Nb 0.3750 0.1251 0.7500 1
Ca1 Ca 0.5000 0.5000 0.0000 1
Ca2 Ca 0.2500 0.7500 0.5000 1
Fe1 Fe 0.0000 0.0000 0.0000 1
Fe2 Fe 0.7500 0.2500 0.5000 1
# Symmetry ... I4_1/amd
# Distance to the lowest polymorph of the same formula ... 395 meV/atom
# Formation energy ... 1.129 eV/atom
# ρ ... 4.48 g/cm3



Entry 7:
# GGA-PBE CaNb3Fe, optimized geometry
data_CaNb3Fe
_chemical_formula_sum 'Ca1 Nb3 Fe1'
_cell_length_a 4.6448
_cell_length_b 4.6448
_cell_length_c 4.6448
_cell_angle_alpha 90.00
_cell_angle_beta 90.00
_cell_angle_gamma 90.00
_symmetry_space_group_name_H-M 'P 1'
_symmetry_Int_Tables_number 1
loop_
_symmetry_equiv_pos_as_xyz
'x,y,z'
loop_
_atom_site_label
_atom_site_type_symbol
_atom_site_fract_x
_atom_site_fract_y
_atom_site_fract_z
_atom_site_occupancy
Ca1 Ca 0.0000 0.0000 0.0000 1
Fe1 Fe 0.5000 0.5000 0.5000 1
Nb1 Nb 0.0000 0.0000 0.5000 1
Nb2 Nb 0.0000 0.5000 0.0000 1
Nb3 Nb 0.5000 0.0000 0.0000 1
# Symmetry ... Pm-3m
# Distance to the lowest polymorph of the same formula ... 2046 meV/atom
# Formation energy ... 2.680 eV/atom
# ρ ... 6.21 g/cm3



Entry 8:
# GGA-PBE CaNb2Fe2, optimized geometry
data_CaNb2Fe2
_chemical_formula_sum 'Ca1 Nb2 Fe2'
_cell_length_a 4.2592
_cell_length_b 4.2592
_cell_length_c 5.8541
_cell_angle_alpha 68.67
_cell_angle_beta 68.67
_cell_angle_gamma 90.00
_symmetry_space_group_name_H-M 'P 1'
_symmetry_Int_Tables_number 1
loop_
_symmetry_equiv_pos_as_xyz
'x,y,z'
loop_
_atom_site_label
_atom_site_type_symbol
_atom_site_fract_x
_atom_site_fract_y
_atom_site_fract_z
_atom_site_occupancy
Fe1 Fe 0.6152 0.6152 0.7696 1
Fe2 Fe 0.3848 0.3848 0.2304 1
Nb1 Nb 0.2500 0.7500 0.5000 1
Nb2 Nb 0.7500 0.2500 0.5000 1
Ca1 Ca 0.0000 0.0000 0.0000 1
# Symmetry ... I4/mmm
# Distance to the lowest polymorph of the same formula ... 0 meV/atom
# Formation energy ... 0.146 eV/atom
# ρ ... 6.16 g/cm3



Entry 9:
# GGA-PBE Ca3NbFe, optimized geometry
data_Ca3NbFe
_chemical_formula_sum 'Ca3 Nb1 Fe1'
_cell_length_a 5.4573
_cell_length_b 5.4573
_cell_length_c 5.4573
_cell_angle_alpha 90.00
_cell_angle_beta 90.00
_cell_angle_gamma 90.00
_symmetry_space_group_name_H-M 'P 1'
_symmetry_Int_Tables_number 1
loop_
_symmetry_equiv_pos_as_xyz
'x,y,z'
loop_
_atom_site_label
_atom_site_type_symbol
_atom_site_fract_x
_atom_site_fract_y
_atom_site_fract_z
_atom_site_occupancy
Ca1 Ca 0.0000 0.0000 0.5000 1
Ca2 Ca 0.5000 0.0000 0.0000 1
Ca3 Ca 0.0000 0.5000 0.0000 1
Nb1 Nb 0.0000 0.0000 0.0000 1
Fe1 Fe 0.5000 0.5000 0.5000 1
# Symmetry ... Pm-3m
# Distance to the lowest polymorph of the same formula ... 604 meV/atom
# Formation energy ... 1.709 eV/atom
# ρ ... 2.75 g/cm3



Entry 10:
# GGA-PBE CaNb2Fe, optimized geometry
data_CaNb2Fe
_chemical_formula_sum 'Ca1 Nb2 Fe1'
_cell_length_a 4.6081
_cell_length_b 4.6081
_cell_length_c 4.6081
_cell_angle_alpha 60.00
_cell_angle_beta 60.00
_cell_angle_gamma 60.00
_symmetry_space_group_name_H-M 'P 1'
_symmetry_Int_Tables_number 1
loop_
_symmetry_equiv_pos_as_xyz
'x,y,z'
loop_
_atom_site_label
_atom_site_type_symbol
_atom_site_fract_x
_atom_site_fract_y
_atom_site_fract_z
_atom_site_occupancy
Nb1 Nb 0.7500 0.7500 0.7500 1
Nb2 Nb 0.2500 0.2500 0.2500 1
Ca1 Ca 0.0000 0.0000 0.0000 1
Fe1 Fe 0.5000 0.5000 0.5000 1
# Symmetry ... Fm-3m
# Distance to the lowest polymorph of the same formula ... 0 meV/atom
# Formation energy ... 0.734 eV/atom
# ρ ... 6.76 g/cm3



Entry 11:
# GGA-PBE CaNb2Fe2, optimized geometry
data_CaNb2Fe2
_chemical_formula_sum 'Ca2 Nb4 Fe4'
_cell_length_a 7.6276
_cell_length_b 7.6276
_cell_length_c 2.8687
_cell_angle_alpha 90.00
_cell_angle_beta 90.00
_cell_angle_gamma 90.00
_symmetry_space_group_name_H-M 'P 1'
_symmetry_Int_Tables_number 1
loop_
_symmetry_equiv_pos_as_xyz
'x,y,z'
loop_
_atom_site_label
_atom_site_type_symbol
_atom_site_fract_x
_atom_site_fract_y
_atom_site_fract_z
_atom_site_occupancy
Fe1 Fe 0.3583 0.8583 0.5000 1
Fe2 Fe 0.1417 0.3583 0.5000 1
Fe3 Fe 0.8583 0.6417 0.5000 1
Fe4 Fe 0.6417 0.1417 0.5000 1
Ca1 Ca 0.5000 0.5000 0.0000 1
Ca2 Ca 0.0000 0.0000 0.0000 1
Nb1 Nb 0.3551 0.1449 0.0000 1
Nb2 Nb 0.1449 0.6449 0.0000 1
Nb3 Nb 0.8551 0.3551 0.0000 1
Nb4 Nb 0.6449 0.8551 0.0000 1
# Symmetry ... P4/mbm
# Distance to the lowest polymorph of the same formula ... 150 meV/atom
# Formation energy ... 0.297 eV/atom
# ρ ... 6.72 g/cm3



Entry 12:
# GGA-PBE CaNb2Fe2, optimized geometry
data_CaNb2Fe2
_chemical_formula_sum 'Ca2 Nb4 Fe4'
_cell_length_a 7.5492
_cell_length_b 7.5492
_cell_length_c 2.9797
_cell_angle_alpha 90.00
_cell_angle_beta 90.00
_cell_angle_gamma 90.00
_symmetry_space_group_name_H-M 'P 1'
_symmetry_Int_Tables_number 1
loop_
_symmetry_equiv_pos_as_xyz
'x,y,z'
loop_
_atom_site_label
_atom_site_type_symbol
_atom_site_fract_x
_atom_site_fract_y
_atom_site_fract_z
_atom_site_occupancy
Nb1 Nb 0.8524 0.3524 0.5000 1
Nb2 Nb 0.1476 0.6476 0.5000 1
Nb3 Nb 0.3524 0.1476 0.5000 1
Nb4 Nb 0.6476 0.8524 0.5000 1
Fe1 Fe 0.8669 0.6331 0.0000 1
Fe2 Fe 0.3669 0.8669 0.0000 1
Fe3 Fe 0.1331 0.3669 0.0000 1
Fe4 Fe 0.6331 0.1331 0.0000 1
Ca1 Ca 0.5000 0.5000 0.0000 1
Ca2 Ca 0.0000 0.0000 0.0000 1
# Symmetry ... P4/mbm
# Distance to the lowest polymorph of the same formula ... 114 meV/atom
# Formation energy ... 0.260 eV/atom
# ρ ... 6.60 g/cm3